# TaSiSb2I

A relaxed TaSiSb2I crystal (PBE-GGA, Alexandria).

Structure (CIF):
```
data_TaSiSb2I
_cell_length_a 5.116
_cell_length_b 5.116
_cell_length_c 5.254
_cell_angle_alpha 90.00
_cell_angle_beta 90.00
_cell_angle_gamma 90.00
_space_group_name_H-M_alt 'P 1'
_space_group_IT_number 1
_space_group_name_Hall 'P 1'
loop_
_atom_site_label
_atom_site_type_symbol
_atom_site_fract_x
_atom_site_fract_y
_atom_site_fract_z
_atom_site_occupancy
Ta1 Ta 0.000 0.000 0.000 1
Si1 Si 0.500 0.500 0.500 1
Sb1 Sb 0.000 0.500 0.500 1
Sb2 Sb 0.500 0.000 0.500 1
I1 I 0.500 0.500 0.000 1
```

Summary:
Formation energy without anion corrections   1.265 eV per atom
Energy   -4.150 eV/atom